Record 1
Density functional theory data (PBE) for crystalline CoNi2Te at its relaxed geometry.

```
CoNi2Te
1.0
2.525 -2.643 0.000
2.525 2.643 0.000
0.000 0.000 4.286
Co Ni Te
1 2 1
Direct
0.000 0.000 0.000
0.233 0.767 0.500
0.767 0.233 0.500
0.500 0.500 0.000
```

Results
The calculation puts the energy relative to the elements, uncorrected at 0.288 eV per atom. Its total energy is -5.16 eV per atom.


Record 2
Density functional theory data (PBE) for crystalline Co2NiTe3 at its relaxed geometry.

```
Co2NiTe3
1.0
3.823 -5.501 0.000
3.823 5.501 0.000
-3.800 0.000 11.507
Co Ni Te
8 4 12
Direct
0.000 0.000 0.000
0.236 0.393 0.623
0.250 0.750 0.500
0.480 0.138 0.123
0.501 0.499 0.000
0.607 0.764 0.377
0.751 0.249 0.500
0.862 0.520 0.877
0.110 0.277 0.384
0.356 0.024 0.884
0.723 0.890 0.616
0.976 0.644 0.116
0.107 0.392 0.998
0.161 0.051 0.204
0.206 0.597 0.296
0.359 0.144 0.502
0.403 0.794 0.704
0.461 0.346 0.797
0.608 0.893 0.002
0.654 0.539 0.203
0.701 0.086 0.297
0.856 0.641 0.498
0.914 0.299 0.703
0.949 0.839 0.796
```

Results
The calculation puts the energy relative to the elements, uncorrected at 0.008 eV per atom. Its total energy is -4.90 eV per atom.


Record 3
Density functional theory data (PBE) for crystalline CoNiTe3 at its relaxed geometry.

```
CoNiTe3
1.0
5.656 -6.094 0.000
5.656 6.094 0.000
-0.850 0.000 6.450
Co Ni Te
4 4 12
Direct
0.073 0.927 0.750
0.237 0.763 0.250
0.763 0.237 0.750
0.927 0.073 0.250
0.266 0.481 0.059
0.481 0.266 0.559
0.519 0.734 0.441
0.734 0.519 0.941
0.035 0.201 0.614
0.060 0.661 0.904
0.201 0.035 0.114
0.303 0.496 0.450
0.339 0.940 0.596
0.496 0.303 0.950
0.504 0.697 0.050
0.661 0.060 0.404
0.697 0.504 0.550
0.799 0.965 0.886
0.940 0.339 0.096
0.965 0.799 0.386
```

Results
The calculation puts the energy relative to the elements, uncorrected at -0.053 eV per atom. As for the distance to the lowest polymorph of the same formula: 2.3 kJ per mole of atoms. Its total energy is -4.52 eV per atom.


Record 4
Density functional theory data (PBE) for crystalline Co2NiTe at its relaxed geometry.

```
Co2NiTe
1.0
-1.906 1.906 3.500
1.906 -1.906 3.500
1.906 1.906 -3.500
Co Ni Te
2 1 1
Direct
0.250 0.750 0.500
0.750 0.250 0.500
0.000 0.000 0.000
0.500 0.500 0.000
```

Results
The calculation puts the energy relative to the elements, uncorrected at 0.183 eV per atom. Its total energy is -5.60 eV per atom.


Record 5
Density functional theory data (PBE) for crystalline CoNiTe3 at its relaxed geometry.

```
CoNiTe3
1.0
4.940 0.000 0.000
0.000 4.940 0.000
0.000 0.000 4.940
Co Ni Te
1 1 3
Direct
0.000 0.000 0.000
0.500 0.500 0.500
0.000 0.000 0.500
0.000 0.500 0.000
0.500 0.000 0.000
```

Results
The calculation puts the energy relative to the elements, uncorrected at 0.781 eV per atom. As for the distance to the lowest polymorph of the same formula: 82.8 kJ per mole of atoms. Its total energy is -3.68 eV per atom.


Record 6
Density functional theory data (PBE) for crystalline Co2NiTe at its relaxed geometry.

```
Co2NiTe
1.0
3.245 0.000 0.000
0.000 3.245 0.000
0.000 0.000 5.314
Co Ni Te
2 1 1
Direct
0.000 0.000 0.000
0.500 0.500 0.207
0.000 0.000 0.454
0.500 0.500 0.708
```

Results
The calculation puts the energy relative to the elements, uncorrected at 0.291 eV per atom. Its total energy is -5.49 eV per atom.


Record 7
Density functional theory data (PBE) for crystalline CoNi2Te at its relaxed geometry.

```
CoNi2Te
1.0
-1.899 1.899 3.644
1.899 -1.899 3.644
1.899 1.899 -3.644
Co Ni Te
1 2 1
Direct
0.000 0.000 0.000
0.500 0.500 0.000
0.750 0.250 0.500
0.250 0.750 0.500
```

Results
The calculation puts the energy relative to the elements, uncorrected at 0.121 eV per atom. Its total energy is -5.33 eV per atom.


Record 8
Density functional theory data (PBE) for crystalline CoNiTe at its relaxed geometry.

```
CoNiTe
1.0
4.042 0.000 0.000
-2.021 3.501 0.000
0.000 0.000 3.215
Co Ni Te
1 1 1
Direct
0.000 0.000 0.000
0.333 0.667 0.453
0.667 0.333 0.795
```

Results
The calculation puts the energy relative to the elements, uncorrected at 0.309 eV per atom. Its total energy is -5.03 eV per atom.


- Which of these has the highest energy relative to the elements, uncorrected?
  number 5


- The lowest energy relative to the elements, uncorrected belongs to which entry?
  number 3